Here is a geometry-optimized Pr2ThCo6 structure from Alexandria. Energies are from PBE.

Cell lengths 6.8097, 6.8097, 4.1568 Å; angles 90.00, 90.00, 120.00 degrees
Space group P6/mmm (No. 191)
Inequivalent atoms, fractional coordinates:
Pr 0.3333 0.6667 0.0000 (multiplicity 2)
Th 0.0000 0.0000 0.0000 (multiplicity 1)
Co 0.0000 0.3310 0.5000 (multiplicity 6)

Values from the calculation:
Final energy (eV/atom): -6.7250
Volume (Å³ per atom): 18.548
Spin magnetization (Bohr magnetons per cell): 3.6



Here is a geometry-optimized PrThZnCo structure from Alexandria. Energies are from PBE.

Cell lengths 7.1706, 7.1706, 7.1706 Å; angles 90.00, 90.00, 90.00 degrees
Space group F-43m (No. 216)
Inequivalent atoms, fractional coordinates:
Pr 0.0000 0.0000 0.0000 (multiplicity 4)
Th 0.0000 0.0000 0.5000 (multiplicity 4)
Zn 0.2500 0.2500 0.2500 (multiplicity 4)
Co 0.2500 0.2500 0.7500 (multiplicity 4)

Values from the calculation:
Final energy (eV/atom): -5.2075
Volume (Å³ per atom): 23.043
Spin magnetization (Bohr magnetons per cell): 1.8



Here is a geometry-optimized PrTiCo structure from Alexandria. Energies are from PBE.

Cell lengths 4.3471, 4.3471, 6.3790 Å; angles 90.00, 90.00, 90.00 degrees
Space group P4/nmm (No. 129, origin choice 2)
Inequivalent atoms, fractional coordinates:
Pr 0.2500 0.2500 0.1277 (multiplicity 2)
Ti 0.2500 0.7500 0.5000 (multiplicity 2)
Co 0.2500 0.2500 0.6808 (multiplicity 2)

Values from the calculation:
Final energy (eV/atom): -6.7794
Volume (Å³ per atom): 20.091
Spin magnetization (Bohr magnetons per cell): 0.0



Here is a geometry-optimized PrTiCo4 structure from Alexandria. Energies are from PBE.

Cell lengths 7.0471, 7.0471, 7.0471 Å; angles 90.00, 90.00, 90.00 degrees
Space group F-43m (No. 216)
Inequivalent atoms, fractional coordinates:
Pr 0.0000 0.0000 0.0000 (multiplicity 4)
Ti 0.2500 0.2500 0.7500 (multiplicity 4)
Co 0.1238 0.1238 0.3762 (multiplicity 16)

Values from the calculation:
Final energy (eV/atom): -6.8709
Volume (Å³ per atom): 14.582
Spin magnetization (Bohr magnetons per cell): 12.2



Here is a geometry-optimized Pr4TlCo structure from Alexandria. Energies are from PBE.

Cell lengths 16.8700, 7.2127, 6.2270 Å; angles 90.00, 110.15, 90.00 degrees
Space group C2/m (No. 12)
Inequivalent atoms, fractional coordinates:
Pr 0.0000 0.2313 0.0000 (multiplicity 4)
Pr 0.1170 0.2489 0.6046 (multiplicity 8)
Pr 0.1886 0.5000 0.1720 (multiplicity 4)
Tl 0.1965 0.0000 0.1994 (multiplicity 4)
Co 0.0081 0.5000 0.3063 (multiplicity 4)

Values from the calculation:
Final energy (eV/atom): -4.9164
Volume (Å³ per atom): 29.638
Spin magnetization (Bohr magnetons per cell): 0.0



Here is a geometry-optimized Pr12TlCo6 structure from Alexandria. Energies are from PBE.

Cell lengths 10.1016, 10.1016, 10.1016 Å; angles 90.00, 90.00, 90.00 degrees
Space group Im-3 (No. 204)
Inequivalent atoms, fractional coordinates:
Pr 0.0000 0.1927 0.3066 (multiplicity 24)
Tl 0.0000 0.0000 0.0000 (multiplicity 2)
Co 0.0000 0.3897 0.5000 (multiplicity 12)

Values from the calculation:
Final energy (eV/atom): -5.4962
Volume (Å³ per atom): 27.126
Spin magnetization (Bohr magnetons per cell): 0.0



Here is a geometry-optimized Pr5Tl2Co structure from Alexandria. Energies are from PBE.

Cell lengths 5.5474, 17.2071, 12.6389 Å; angles 90.00, 90.00, 90.00 degrees
Space group Cmcm (No. 63)
Inequivalent atoms, fractional coordinates:
Pr 0.0000 0.0683 0.1034 (multiplicity 8)
Pr 0.0000 0.2902 0.0829 (multiplicity 8)
Pr 0.0000 0.3015 0.7500 (multiplicity 4)
Tl 0.0000 0.1210 0.6339 (multiplicity 8)
Co 0.0000 0.1803 0.2500 (multiplicity 4)

Values from the calculation:
Final energy (eV/atom): -4.3690
E above lowest polymorph (meV per atom): 329.8
Volume (Å³ per atom): 37.701
Spin magnetization (Bohr magnetons per cell): 0.0



Here is a geometry-optimized Pr12Tl6Co structure from Alexandria. Energies are from PBE.

Cell lengths 12.6112, 12.6112, 13.7346 Å; angles 90.00, 90.00, 120.00 degrees
Space group R-3 (No. 148, hexagonal axes)
Inequivalent atoms, fractional coordinates:
Pr 0.0367 0.8465 0.3880 (multiplicity 18)
Pr 0.0430 0.1884 0.8764 (multiplicity 18)
Tl 0.0061 0.6049 0.2595 (multiplicity 18)
Co 0.0000 0.0000 0.0000 (multiplicity 3)

Values from the calculation:
Final energy (eV/atom): -4.2998
Volume (Å³ per atom): 33.188
Spin magnetization (Bohr magnetons per cell): 0.0



Here is a geometry-optimized Pr5Tl2Co structure from Alexandria. Energies are from PBE.

Cell lengths 8.2752, 12.2914, 4.8082 Å; angles 90.00, 90.00, 90.00 degrees
Space group Pbam (No. 55)
Inequivalent atoms, fractional coordinates:
Pr 0.0000 0.0000 0.0000 (multiplicity 2)
Pr 0.1315 0.3033 0.0000 (multiplicity 4)
Pr 0.1814 0.5680 0.5000 (multiplicity 4)
Tl 0.0776 0.8306 0.5000 (multiplicity 4)
Co 0.0000 0.5000 0.0000 (multiplicity 2)

Values from the calculation:
Final energy (eV/atom): -4.6989
E above lowest polymorph (meV per atom): 0.0
Volume (Å³ per atom): 30.566
Spin magnetization (Bohr magnetons per cell): 0.0



Here is a geometry-optimized Pr5TlCo structure from Alexandria. Energies are from PBE.

Cell lengths 10.9577, 7.1670, 11.8028 Å; angles 90.00, 109.53, 90.00 degrees
Space group C2/c (No. 15)
Inequivalent atoms, fractional coordinates:
Pr 0.0000 0.0031 0.2500 (multiplicity 4)
Pr 0.1200 0.3203 0.0483 (multiplicity 8)
Pr 0.2188 0.1915 0.6359 (multiplicity 8)
Tl 0.0000 0.4658 0.7500 (multiplicity 4)
Co 0.0000 0.0000 0.0000 (multiplicity 4)

Values from the calculation:
Final energy (eV/atom): -4.8152
Volume (Å³ per atom): 31.200
Spin magnetization (Bohr magnetons per cell): 0.0



Here is a geometry-optimized Pr3TlCo structure from Alexandria. Energies are from PBE.

Cell lengths 7.3123, 7.3130, 7.8145 Å; angles 90.09, 117.77, 119.94 degrees
Space group P-1 (No. 2)
Inequivalent atoms, fractional coordinates:
Pr 0.1782 0.0882 0.2682 (multiplicity 2)
Pr 0.1783 0.5898 0.2675 (multiplicity 2)
Pr 0.3200 0.4101 0.7318 (multiplicity 2)
Tl 0.2990 0.8995 0.6994 (multiplicity 2)
Co 0.1587 0.3289 0.9879 (multiplicity 2)

Values from the calculation:
Final energy (eV/atom): -4.7824
E above lowest polymorph (meV per atom): 140.8
Volume (Å³ per atom): 30.509
Spin magnetization (Bohr magnetons per cell): 0.0



Here is a geometry-optimized Pr3Tl2Co structure from Alexandria. Energies are from PBE.

Cell lengths 17.1320, 5.3210, 3.7815 Å; angles 90.00, 90.08, 90.00 degrees
Space group C2/m (No. 12)
Inequivalent atoms, fractional coordinates:
Pr 0.0000 0.0000 0.0000 (multiplicity 2)
Pr 0.1273 0.5000 0.5006 (multiplicity 4)
Tl 0.1950 0.0000 0.9982 (multiplicity 4)
Co 0.0000 0.5000 0.0000 (multiplicity 2)

Values from the calculation:
Final energy (eV/atom): -4.5518
Volume (Å³ per atom): 28.726
Spin magnetization (Bohr magnetons per cell): 0.0